A relaxed Cd6Ga crystal. Source: the Alexandria database, functional PBE.

abc: 5.8384 5.8384 9.7450
angles: 90.00 90.00 90.00
Fractional coordinates of all 14 atoms:
Cd: 0.5000 0.5000 0.1419
Cd: 0.0000 0.0000 0.1419
Cd: 0.3225 0.8225 0.3594
Cd: 0.8225 0.3225 0.6406
Cd: 0.0000 0.0000 0.8581
Cd: 0.6775 0.8225 0.6406
Cd: 0.1775 0.3225 0.3594
Cd: 0.3225 0.1775 0.6406
Cd: 0.6775 0.1775 0.3594
Cd: 0.1775 0.6775 0.6406
Cd: 0.5000 0.5000 0.8581
Cd: 0.8225 0.6775 0.3594
Ga: 0.0000 0.5000 0.0000
Ga: 0.5000 0.0000 0.0000

calculated density	7440	kg/m3
spin magnetization	0.0	μB/f.u.
VASP energy	-15.8	eV per cell
E_form	0.085	eV per atom